Entry 1:
This record from Alexandria describes a geometry-optimized CePmTc structure. The functional is PBE.

Unit cell a=4.3789 b=6.0991 c=7.7543 alpha=115.95 beta=82.24 gamma=68.92
With the nearest neighbours (Å) after each atom.
Positions (direct):
Pm  0.8048  0.3540  0.0923  3 Tc 3.01-3.09
Pm  0.1952  0.6460  0.9077  3 Tc 3.01-3.09
Tc  0.9632  0.2426  0.6527  1 Ce 2.33
Tc  0.0368  0.7574  0.3473  1 Ce 2.33
Ce  0.3665  0.1543  0.3714  1 Tc 2.33
Ce  0.6335  0.8457  0.6286  1 Tc 2.33

Results
* final energy: -21.13 eV per formula unit
* energy above the lowest structure with this stoichiometry: 0.016 eV per atom
* E_form: -0.027 eV per atom

=====

Entry 2:
This record from Alexandria describes a geometry-optimized HoHg2Pd8 structure. The functional is PBE.

Unit cell a=4.1629 b=6.4201 c=7.5971 alpha=104.67 beta=105.90 gamma=90.00
With the nearest neighbours (Å) after each atom.
Positions (direct):
Pd  0.1366  0.1814  0.2731  7 Pd 2.83-2.93, 2 Ho 2.91, 3 Hg 2.91-2.93
Pd  0.0418  0.7218  0.0836  9 Pd 2.79-2.93, 1 Hg 2.83, 2 Ho 2.91
Pd  0.3197  0.0889  0.6393  3 Hg 2.81-2.86, 1 Ho 2.84, 8 Pd 2.86-2.93
Pd  0.6803  0.9111  0.3607  3 Hg 2.81-2.86, 1 Ho 2.84, 8 Pd 2.86-2.93
Pd  0.4099  0.5414  0.8199  8 Pd 2.82-2.93, 1 Ho 2.89, 3 Hg 2.90-2.96
Pd  0.8634  0.8186  0.7269  7 Pd 2.83-2.93, 2 Ho 2.91, 3 Hg 2.91-2.93
Pd  0.9582  0.2782  0.9164  9 Pd 2.79-2.93, 1 Hg 2.83, 2 Ho 2.91
Pd  0.5901  0.4586  0.1801  8 Pd 2.82-2.93, 1 Ho 2.89, 3 Hg 2.90-2.96
Hg  0.7755  0.3519  0.5510  10 Pd 2.81-2.96, 2 Hg 3.04
Hg  0.2245  0.6481  0.4490  10 Pd 2.81-2.96, 2 Hg 3.04
Ho  0.5000  0.0000  0.0000  12 Pd 2.84-2.91

Results
* final energy: -51.05 eV per formula unit
* E_form: -0.393 eV per atom

=====

Entry 3:
This record from Alexandria describes a geometry-optimized Ac3TbCe3Se8 structure. The functional is PBE.

Unit cell a=8.5662 b=8.5671 c=8.7302 alpha=119.38 beta=90.00 gamma=120.00
With the nearest neighbours (Å) after each atom.
Positions (direct):
Tb  0.0000  0.0000  0.5000  6 Se 2.95
Se  0.7444  0.4889  0.7342  3 Ce 2.99, 3 Ac 3.12-3.13
Se  0.2511  0.0097  0.2688  1 Tb 2.95, 2 Ce 2.99-3.00, 2 Ac 3.12-3.13
Se  0.7585  0.0097  0.2688  1 Tb 2.95, 2 Ce 2.99-3.00, 2 Ac 3.12-3.13
Se  0.2556  0.5111  0.2658  3 Ce 2.99, 3 Ac 3.12-3.13
Se  0.2412  0.4824  0.7315  1 Tb 2.95, 2 Ce 3.00, 2 Ac 3.12
Se  0.2415  0.9903  0.7312  1 Tb 2.95, 2 Ce 2.99-3.00, 2 Ac 3.12-3.13
Se  0.7489  0.9903  0.7312  1 Tb 2.95, 2 Ce 2.99-3.00, 2 Ac 3.12-3.13
Se  0.7588  0.5176  0.2685  1 Tb 2.95, 2 Ce 3.00, 2 Ac 3.12
Ce  0.5000  0.5000  0.5000  6 Se 2.99-3.00
Ce  0.0000  0.5000  0.5000  6 Se 2.99-3.00
Ce  0.5000  0.0000  0.5000  6 Se 2.99
Ac  0.0000  0.5000  0.0000  6 Se 3.12
Ac  0.0000  0.0000  0.0000  6 Se 3.13
Ac  0.5000  0.5000  0.0000  6 Se 3.12

Results
* final energy: -90.68 eV per formula unit
* formation energy from raw total energies: -1870 meV per atom

=====

Entry 4:
This record from Alexandria describes a geometry-optimized Ce3NiGe6Pd2 structure. The functional is PBE.

Unit cell a=5.9513 b=5.9513 c=7.9009 alpha=90.00 beta=90.00 gamma=120.00
With the nearest neighbours (Å) after each atom.
Positions (direct):
Ce  0.6667  0.3333  0.3521  9 Ge 3.01-3.15, 1 Pd 3.01
Ce  0.0000  0.0000  0.0000  6 Ge 3.04
Ce  0.3333  0.6667  0.6479  9 Ge 3.01-3.15, 1 Pd 3.01
Ge  0.1831  0.3662  0.3013  1 Ni 2.46, 1 Pd 2.65, 2 Ge 2.68
Ge  0.8169  0.6338  0.6987  1 Ni 2.46, 1 Pd 2.65, 2 Ge 2.68
Ge  0.3662  0.1831  0.6987  1 Ni 2.46, 1 Pd 2.65, 2 Ge 2.68
Ge  0.8169  0.1831  0.6987  1 Ni 2.46, 1 Pd 2.65, 2 Ge 2.68
Ge  0.6338  0.8169  0.3013  1 Ni 2.46, 1 Pd 2.65, 2 Ge 2.68
Ge  0.1831  0.8169  0.3013  1 Ni 2.46, 1 Pd 2.65, 2 Ge 2.68
Ni  0.0000  0.0000  0.5000  6 Ge 2.46
Pd  0.6667  0.3333  0.9707  3 Ge 2.65
Pd  0.3333  0.6667  0.0293  3 Ge 2.65

Results
* final energy: -67.19 eV per formula unit
* E_form: -0.460 eV per atom

=====

Entry 5:
This record from Alexandria describes a geometry-optimized LiTaNbAg2O6 structure. The functional is PBE.

Unit cell a=4.0903 b=4.0903 c=8.1002 alpha=90.00 beta=90.00 gamma=90.20
With the nearest neighbours (Å) after each atom.
Positions (direct):
Ag  0.9801  0.0199  0.3023  1 Li 2.50, 5 O 2.58-2.63
Ag  0.9801  0.0199  0.6977  1 Li 2.50, 5 O 2.58-2.63
O  0.5313  0.4687  0.7463  1 Ta 2.01, 1 Nb 2.06
O  0.4867  0.9932  0.5000  2 Ta 1.98-2.11
O  0.5633  0.9459  0.0000  2 Li 2.02-2.08, 2 Nb 2.03-2.06
O  0.0068  0.5133  0.5000  2 Ta 1.98-2.11
O  0.0541  0.4367  0.0000  2 Li 2.02-2.08, 2 Nb 2.03-2.06
O  0.5313  0.4687  0.2537  1 Ta 2.01, 1 Nb 2.06
Ta  0.4916  0.5084  0.5000  6 O 1.98-2.11
Li  0.0707  0.9293  0.0000  4 O 2.02-2.08
Nb  0.5589  0.4411  0.0000  6 O 2.03-2.06

Results
* final energy: -78.53 eV per formula unit
* energy above the lowest structure with this stoichiometry: 0.000 eV per atom
* formation energy from raw total energies: -1749 meV per atom

=====

Entry 6:
This record from Alexandria describes a geometry-optimized Pr5Tl2H structure. The functional is PBE.

Unit cell a=7.2087 b=7.2086 c=6.9049 alpha=121.46 beta=121.46 gamma=90.01
With the nearest neighbours (Å) after each atom.
Positions (direct):
Pr  0.2514  0.2514  0.0029  1 H 2.55
Pr  0.7513  0.2514  0.0028  1 H 2.55
Pr  0.7555  0.7555  0.5107  1 H 2.38
Pr  0.2514  0.7513  0.0028  1 H 2.55
Pr  0.7515  0.7515  0.0028  1 H 2.55
Tl  0.2528  0.7526  0.5054  10 Pr 3.44-3.60
Tl  0.7526  0.2528  0.5054  10 Pr 3.44-3.60
H  0.0105  0.0105  0.0213  5 Pr 2.38-2.55

Results
* final energy: -33.23 eV per formula unit

=====

Entry 7:
This record from Alexandria describes a geometry-optimized CePd9Pb2 structure. The functional is PBE.

Unit cell a=4.1260 b=4.1260 c=12.3736 alpha=90.00 beta=90.00 gamma=90.00
With the nearest neighbours (Å) after each atom.
Positions (direct):
Pd  0.5000  0.0000  0.8345  2 Ce 2.91, 8 Pd 2.91-2.94, 2 Pb 2.94
Pd  0.5000  0.5000  0.3348  8 Pd 2.90-2.94, 4 Pb 2.92
Pd  0.0000  0.5000  0.1655  2 Ce 2.91, 8 Pd 2.91-2.94, 2 Pb 2.94
Pd  0.5000  0.0000  0.1655  2 Ce 2.91, 8 Pd 2.91-2.94, 2 Pb 2.94
Pd  0.5000  0.5000  0.6652  8 Pd 2.90-2.94, 4 Pb 2.92
Pd  0.0000  0.5000  0.8345  2 Ce 2.91, 8 Pd 2.91-2.94, 2 Pb 2.94
Pd  0.5000  0.5000  0.0000  8 Pd 2.91, 4 Ce 2.92
Pd  0.0000  0.5000  0.5000  4 Pb 2.90, 8 Pd 2.90-2.92
Pd  0.5000  0.0000  0.5000  4 Pb 2.90, 8 Pd 2.90-2.92
Pb  0.0000  0.0000  0.6648  12 Pd 2.90-2.94
Pb  0.0000  0.0000  0.3352  12 Pd 2.90-2.94
Ce  0.0000  0.0000  0.0000  12 Pd 2.91-2.92

Results
* final energy: -65.72 eV per formula unit
* E_form: -0.470 eV per atom

=====

Entry 8:
This record from Alexandria describes a geometry-optimized Ac12La5Tb3 structure. The functional is PBE.

Unit cell a=17.0652 b=17.0652 c=17.0652 alpha=109.47 beta=109.47 gamma=109.47
With the nearest neighbours (Å) after each atom.
Positions (direct):
Ac  0.5963  0.7285  0.6687  2 La 3.26-3.36, 1 Tb 3.44
Ac  0.6687  0.4402  0.5723  2 La 3.26-3.36, 1 Tb 3.44
Ac  0.4402  0.7715  0.8678  2 La 3.26-3.36, 1 Tb 3.44
Ac  0.5723  0.6322  0.4037  2 La 3.26-3.36, 1 Tb 3.44
Ac  0.1687  0.0963  0.7285  2 La 3.26-3.36, 1 Tb 3.44
Ac  0.4037  0.1322  0.5723  2 La 3.26-3.36, 1 Tb 3.44
Ac  0.0598  0.6322  0.7285  2 La 3.26-3.36, 1 Tb 3.44
Ac  0.4277  0.3678  0.5963  2 La 3.26-3.36, 1 Tb 3.44
Ac  0.4277  0.0598  0.3313  2 La 3.26-3.36, 1 Tb 3.44
Ac  0.4037  0.2715  0.3313  2 La 3.26-3.36, 1 Tb 3.44
Ac  0.9037  0.0723  0.6322  2 La 3.26-3.36, 1 Tb 3.44
Ac  0.5598  0.2285  0.1322  2 La 3.26-3.36, 1 Tb 3.44
Ac  0.7715  0.4402  0.3678  2 La 3.26-3.36, 1 Tb 3.44
Ac  0.3678  0.9402  0.7715  2 La 3.26-3.36, 1 Tb 3.44
Ac  0.9402  0.5723  0.1687  2 La 3.26-3.36, 1 Tb 3.44
Ac  0.5723  0.9402  0.6687  2 La 3.26-3.36, 1 Tb 3.44
Ac  0.7715  0.3313  0.9037  2 La 3.26-3.36, 1 Tb 3.44
Ac  0.2285  0.6687  0.0963  2 La 3.26-3.36, 1 Tb 3.44
Ac  0.9277  0.0963  0.8678  2 La 3.26-3.36, 1 Tb 3.44
Ac  0.5598  0.3313  0.9277  2 La 3.26-3.36, 1 Tb 3.44
Ac  0.5963  0.8678  0.4277  2 La 3.26-3.36, 1 Tb 3.44
Ac  0.2285  0.5598  0.6322  2 La 3.26-3.36, 1 Tb 3.44
Ac  0.8678  0.5963  0.9277  2 La 3.26-3.36, 1 Tb 3.44
Ac  0.0963  0.1687  0.2285  2 La 3.26-3.36, 1 Tb 3.44
Ac  0.3313  0.7715  0.4037  2 La 3.26-3.36, 1 Tb 3.44
Ac  0.1322  0.7285  0.5598  2 La 3.26-3.36, 1 Tb 3.44
Ac  0.7285  0.5963  0.1687  2 La 3.26-3.36, 1 Tb 3.44
Ac  0.8313  0.9277  0.0598  2 La 3.26-3.36, 1 Tb 3.44
Ac  0.1687  0.0723  0.9402  2 La 3.26-3.36, 1 Tb 3.44
Ac  0.3678  0.4277  0.0963  2 La 3.26-3.36, 1 Tb 3.44
Ac  0.7285  0.1322  0.0598  2 La 3.26-3.36, 1 Tb 3.44
Ac  0.1322  0.4037  0.0723  2 La 3.26-3.36, 1 Tb 3.44
Ac  0.8313  0.9037  0.2715  2 La 3.26-3.36, 1 Tb 3.44
Ac  0.2715  0.4037  0.8313  2 La 3.26-3.36, 1 Tb 3.44
Ac  0.0723  0.1687  0.4402  2 La 3.26-3.36, 1 Tb 3.44
Ac  0.0598  0.4277  0.8313  2 La 3.26-3.36, 1 Tb 3.44
Ac  0.6322  0.5723  0.9037  2 La 3.26-3.36, 1 Tb 3.44
Ac  0.4402  0.6687  0.0723  2 La 3.26-3.36, 1 Tb 3.44
Ac  0.8678  0.2715  0.4402  2 La 3.26-3.36, 1 Tb 3.44
Ac  0.6322  0.0598  0.2285  2 La 3.26-3.36, 1 Tb 3.44
Ac  0.0723  0.9037  0.1322  2 La 3.26-3.36, 1 Tb 3.44
Ac  0.3313  0.5598  0.4277  2 La 3.26-3.36, 1 Tb 3.44
Ac  0.9402  0.3678  0.2715  2 La 3.26-3.36, 1 Tb 3.44
Ac  0.6687  0.2285  0.5963  2 La 3.26-3.36, 1 Tb 3.44
Ac  0.9277  0.8313  0.5598  2 La 3.26-3.36, 1 Tb 3.44
Ac  0.2715  0.8678  0.9402  2 La 3.26-3.36, 1 Tb 3.44
Ac  0.0963  0.9277  0.3678  2 La 3.26-3.36, 1 Tb 3.44
Ac  0.9037  0.8313  0.7715  2 La 3.26-3.36, 1 Tb 3.44
La  0.5000  0.0000  0.0000  6 Ac 3.36
La  0.8750  0.6250  0.7500  4 Ac 3.26
La  0.5000  0.5000  0.5000  6 Ac 3.36
La  0.0000  0.0000  0.0000  6 Ac 3.36
La  0.2500  0.3750  0.6250  4 Ac 3.26
La  0.1250  0.3750  0.2500  4 Ac 3.26
La  0.3750  0.1250  0.7500  4 Ac 3.26
La  0.8750  0.2500  0.6250  4 Ac 3.26
La  0.3750  0.2500  0.1250  4 Ac 3.26
La  0.7500  0.1250  0.8750  4 Ac 3.26
La  0.0000  0.5000  0.5000  6 Ac 3.36
La  0.6250  0.7500  0.8750  4 Ac 3.26
La  0.5000  0.0000  0.5000  6 Ac 3.36
La  0.7500  0.6250  0.3750  4 Ac 3.26
La  0.6250  0.8750  0.2500  4 Ac 3.26
La  0.5000  0.5000  0.0000  6 Ac 3.36
La  0.0000  0.5000  0.0000  6 Ac 3.36
La  0.1250  0.7500  0.3750  4 Ac 3.26
La  0.0000  0.0000  0.5000  6 Ac 3.36
La  0.2500  0.8750  0.1250  4 Ac 3.26
Tb  0.1250  0.2500  0.8750  8 Ac 3.44-3.77
Tb  0.6250  0.2500  0.3750  8 Ac 3.44-3.77
Tb  0.6250  0.3750  0.7500  8 Ac 3.44-3.77
Tb  0.8750  0.1250  0.2500  8 Ac 3.44-3.77
Tb  0.2500  0.6250  0.8750  8 Ac 3.44-3.77
Tb  0.3750  0.6250  0.2500  8 Ac 3.44-3.77
Tb  0.1250  0.8750  0.7500  8 Ac 3.44-3.77
Tb  0.8750  0.7500  0.1250  8 Ac 3.44-3.77
Tb  0.7500  0.8750  0.6250  8 Ac 3.44-3.77
Tb  0.3750  0.7500  0.6250  8 Ac 3.44-3.77
Tb  0.2500  0.1250  0.3750  8 Ac 3.44-3.77
Tb  0.7500  0.3750  0.1250  8 Ac 3.44-3.77

Results
* final energy: -70.32 eV per formula unit
* E_form: 0.875 eV per atom